# GGA+U V2CdPtO8, relaxed
# - E_tot: -0.23573 Ha/atom
# - D(E_F): 0.00 states/eV/f.u.
# - Volume: 14.47 Å³ per atom
data_V2CdPtO8
_cell_length_a 5.6434
_cell_length_b 5.6434
_cell_length_c 6.2944
_cell_angle_alpha 90.00
_cell_angle_beta 90.00
_cell_angle_gamma 120.00
_space_group_name_H-M_alt 'P -3 m 1'
_space_group_IT_number 164
_space_group_name_Hall '-P 3 2"'
loop_
_atom_site_label
_atom_site_type_symbol
_atom_site_fract_x
_atom_site_fract_y
_atom_site_fract_z
V1 V 0.3333 0.6667 0.2229
Cd1 Cd 0.0000 0.0000 0.0000
Pt1 Pt 0.0000 0.0000 0.5000
O1 O 0.1555 0.3109 0.2924
O2 O 0.3333 0.6667 0.9631